No. 1
First-principles (GGA-PBE) data for a geometry-optimized InO3 structure, as listed in Alexandria.

```
InO3
1.0
5.8633 -3.4130 0.0618
1.9408 6.0177 2.4599
-4.6443 -3.5913 3.4005
In O
4 12
direct
0.0004 0.5037 0.0036
0.5001 0.5037 0.5033
0.4999 0.0032 0.0036
0.9996 0.0032 0.5033
0.8660 0.7712 0.9052
0.1340 0.2356 0.1016
0.8660 0.9676 0.1016
0.1340 0.0391 0.9052
0.4157 0.8396 0.2553
0.5843 0.1672 0.7515
0.5843 0.8396 0.4239
0.4157 0.1672 0.5830
0.6548 0.3466 0.3149
0.3452 0.6601 0.6918
0.9683 0.6601 0.3149
0.0317 0.3466 0.6918
```

Summary:
Formation energy (no corrections)   -2.11 eV/f.u.
Space group   Imm2 (44)

---

No. 2
First-principles (GGA-PBE) data for a geometry-optimized TmNi7B2 structure, as listed in Alexandria.

```
TmNi7B2
1.0
-2.5729 3.0019 0.2807
-0.9566 -1.3438 5.6023
4.3491 3.8061 -0.8399
Tm Ni B
1 7 2
direct
0.0000 0.0000 0.0000
0.0000 0.6693 0.3307
0.0000 0.3307 0.6693
0.5000 0.0606 0.3316
0.5000 0.9394 0.6684
0.5000 0.3316 0.0606
0.5000 0.6684 0.9394
0.5000 0.5000 0.5000
0.5000 0.7070 0.2930
0.5000 0.2930 0.7070
```

Summary:
Formation energy   -126.8 meV/atom
Space group   Cmmm (65)

---

No. 3
First-principles (GGA-PBE) data for a geometry-optimized Mn2CoIr structure, as listed in Alexandria.

```
Mn2CoIr
1.0
-4.2807 0.9679 0.7011
-2.1253 -3.5983 1.5124
3.7513 2.0008 1.2949
Ir Co Mn
1 1 2
direct
0.7500 0.2500 0.5000
0.2500 0.7500 0.5000
0.0000 0.0000 0.0000
0.5000 0.5000 0.0000
```

Summary:
Formation energy   -66.5 meV/atom
Space group   I4/mmm (139)

---

No. 4
First-principles (GGA-PBE) data for a geometry-optimized InGe structure, as listed in Alexandria.

```
InGe
1.0
4.0924 0.0000 0.0000
-2.0462 3.5441 0.0000
0.0000 0.0000 8.0345
In Ge
2 2
direct
0.3333 0.6667 0.7065
0.6667 0.3333 0.2065
0.3333 0.6667 0.3755
0.6667 0.3333 0.8755
```

Summary:
Formation energy   285.5 meV/atom
Space group   P6_3mc (186)